1.
Below is a relaxed structure of Th4SiSnTe2, with properties calculated at the GGA-PBE level.

Lattice parameters (Å, degrees): 7.7460 4.4112 7.7462 90.00 109.11 90.00
Atoms (fractional coordinates):
Th: 0.2214 0.0000 0.2168
Th: 0.2369 0.5000 0.7724
Th: 0.7631 0.5000 0.2276
Th: 0.7786 0.0000 0.7832
Si: 0.0000 0.5000 0.0000
Sn: 0.5000 0.0000 0.0000
Te: 0.0000 0.0000 0.5000
Te: 0.5000 0.5000 0.5000

## Properties
- DOS(E_F) (states/eV/cell) = 4.20
- theoretical density (g/cm³) = 8.832

2.
Below is a relaxed structure of Na2CdAgCl6, with properties calculated at the GGA-PBE level.

Lattice parameters (Å, degrees): 6.7770 6.8813 7.1993 62.32 89.56 63.67
Atoms (fractional coordinates):
Na: 0.0000 0.0000 0.0000
Na: 0.4909 0.0126 0.5041
Cd: 0.6961 0.5968 0.1041
Ag: 0.1912 0.6021 0.5926
Cl: 0.0847 0.4874 0.3382
Cl: 0.3017 0.7463 0.8141
Cl: 0.4095 0.7598 0.3301
Cl: 0.5933 0.0535 0.8550
Cl: 0.7889 0.1469 0.2944
Cl: 0.9261 0.4962 0.8055

## Properties
- DOS(E_F) (states/eV/cell) = 1.73
- theoretical density (g/cm³) = 3.082

Respective raw formation energy values: -0.8776 -1.1177 eV/atom.